# 1
This record from Alexandria describes a relaxed structure of TbAu2F8. The functional is GGA-PBE.

Structure (CIF):
```
data_TbAu2F8
_space_group_name_H-M_alt 'C 1 2/m 1'
_space_group_IT_number 12
_cell_length_a 11.181
_cell_length_b 7.675
_cell_length_c 4.133
_cell_angle_alpha 90.00
_cell_angle_beta 110.72
_cell_angle_gamma 90.00
loop_
_space_group_symop_operation_xyz
'x,y,z'
'-x,-y,-z'
'-x,y,-z'
'x,-y,z'
'x+1/2,y+1/2,z'
'-x+1/2,-y+1/2,-z'
'-x+1/2,y+1/2,-z'
'x+1/2,-y+1/2,z'
loop_
_atom_site_label
_atom_site_type_symbol
_atom_site_fract_x
_atom_site_fract_y
_atom_site_fract_z
Tb1 Tb 0.000 0.000 0.000
Au1 Au 0.140 0.500 0.143
F1 F 0.115 0.000 0.616
F2 F 0.134 0.238 0.138
F3 F 0.141 0.500 0.644
```

# 2
This record from Alexandria describes a relaxed structure of TcAu2F. The functional is GGA-PBE.

Structure (CIF):
```
data_TcAu2F
_space_group_name_H-M_alt 'F m -3 m'
_space_group_IT_number 225
_space_group_name_Hall '-F 4 2 3'
_cell_length_a 6.434
_cell_length_b 6.434
_cell_length_c 6.434
_cell_angle_alpha 90.00
_cell_angle_beta 90.00
_cell_angle_gamma 90.00
loop_
_atom_site_label
_atom_site_type_symbol
_atom_site_fract_x
_atom_site_fract_y
_atom_site_fract_z
Tc1 Tc 0.000 0.000 0.000
Au1 Au 0.250 0.250 0.250
F1 F 0.000 0.000 0.500
```

Calculated values
The polymorph energy (0 for the lowest one) is 2 kJ/mol of formula units.

# 3
This record from Alexandria describes a relaxed structure of Tc3AuF. The functional is GGA-PBE.

Structure (CIF):
```
data_Tc3AuF
_space_group_name_H-M_alt 'P m -3 m'
_space_group_IT_number 221
_space_group_name_Hall '-P 4 2 3'
_cell_length_a 5.166
_cell_length_b 5.166
_cell_length_c 5.166
_cell_angle_alpha 90.00
_cell_angle_beta 90.00
_cell_angle_gamma 90.00
loop_
_atom_site_label
_atom_site_type_symbol
_atom_site_fract_x
_atom_site_fract_y
_atom_site_fract_z
Tc1 Tc 0.000 0.000 0.500
Au1 Au 0.000 0.000 0.000
F1 F 0.500 0.500 0.500
```

Calculated values
The polymorph energy (0 for the lowest one) is 587 kJ/mol of formula units.

no.,total moment (Bohr magnetons per cell),energy (Ry/atom)
1,0.00,-0.3242
2,14.65,-0.3273
3,12.21,-0.3800